The following is a DFT calculation (GGA-PBE) of a relaxed structure of InCuIr.

Structure (CIF):
```
data_InCuIr
_chemical_formula_sum 'In2 Cu2 Ir2'
_cell_length_a 4.373
_cell_length_b 4.373
_cell_length_c 5.673
_cell_angle_alpha 90.00
_cell_angle_beta 90.00
_cell_angle_gamma 120.00
_symmetry_space_group_name_H-M 'P 1'
_symmetry_Int_Tables_number 1
_symmetry_space_group_name_Hall 'P 1'
loop_
_atom_site_label
_atom_site_fract_x
_atom_site_fract_y
_atom_site_fract_z
_atom_site_occupancy
In1 0.333 0.667 0.263 1
In2 0.667 0.333 0.737 1
Cu1 0.333 0.667 0.769 1
Cu2 0.667 0.333 0.231 1
Ir1 0.000 0.000 0.000 1
Ir2 0.000 0.000 0.500 1
```

Calculated values
As for the density of states at the Fermi level: 2.9 states/eV per cell. The theoretical density is 13.10 g/cm3. The space-group type is No. 164.

The following is a DFT calculation (GGA-PBE) of a relaxed structure of InCu2Ir.

Structure (CIF):
```
data_InCu2Ir
_chemical_formula_sum 'In4 Cu8 Ir4'
_cell_length_a 3.793
_cell_length_b 3.793
_cell_length_c 18.435
_cell_angle_alpha 90.00
_cell_angle_beta 90.00
_cell_angle_gamma 90.00
_symmetry_space_group_name_H-M 'P 1'
_symmetry_Int_Tables_number 1
_symmetry_space_group_name_Hall 'P 1'
loop_
_atom_site_label
_atom_site_fract_x
_atom_site_fract_y
_atom_site_fract_z
_atom_site_occupancy
In1 0.000 0.000 0.000 1
In2 0.000 0.500 0.250 1
In3 0.500 0.000 0.750 1
In4 0.500 0.500 0.500 1
Cu1 0.218 0.250 0.625 1
Cu2 0.250 0.718 0.875 1
Cu3 0.250 0.782 0.375 1
Cu4 0.282 0.250 0.125 1
Cu5 0.718 0.750 0.125 1
Cu6 0.750 0.218 0.375 1
Cu7 0.750 0.282 0.875 1
Cu8 0.782 0.750 0.625 1
Ir1 0.000 0.000 0.500 1
Ir2 0.000 0.500 0.750 1
Ir3 0.500 0.000 0.250 1
Ir4 0.500 0.500 0.000 1
```

Calculated values
As for the density of states at the Fermi level: 6.8 states/eV per cell. The theoretical density is 10.87 g/cm3. The space-group type is No. 122.

The following is a DFT calculation (GGA-PBE) of a relaxed structure of InCu2Ir.

Structure (CIF):
```
data_InCu2Ir
_chemical_formula_sum 'In1 Cu2 Ir1'
_cell_length_a 3.877
_cell_length_b 3.877
_cell_length_c 3.934
_cell_angle_alpha 90.00
_cell_angle_beta 90.00
_cell_angle_gamma 90.00
_symmetry_space_group_name_H-M 'P 1'
_symmetry_Int_Tables_number 1
_symmetry_space_group_name_Hall 'P 1'
loop_
_atom_site_label
_atom_site_fract_x
_atom_site_fract_y
_atom_site_fract_z
_atom_site_occupancy
In1 0.000 0.000 0.000 1
Cu1 0.000 0.500 0.500 1
Cu2 0.500 0.000 0.500 1
Ir1 0.500 0.500 0.000 1
```

Calculated values
As for the density of states at the Fermi level: 1.5 states/eV per cell. The theoretical density is 12.19 g/cm3. The space-group type is No. 123.

The following is a DFT calculation (GGA-PBE) of a relaxed structure of InCu2Ir.

Structure (CIF):
```
data_InCu2Ir
_chemical_formula_sum 'In1 Cu2 Ir1'
_cell_length_a 3.131
_cell_length_b 3.131
_cell_length_c 6.053
_cell_angle_alpha 90.00
_cell_angle_beta 90.00
_cell_angle_gamma 90.00
_symmetry_space_group_name_H-M 'P 1'
_symmetry_Int_Tables_number 1
_symmetry_space_group_name_Hall 'P 1'
loop_
_atom_site_label
_atom_site_fract_x
_atom_site_fract_y
_atom_site_fract_z
_atom_site_occupancy
In1 0.000 0.000 0.000 1
Cu1 0.000 0.000 0.521 1
Cu2 0.500 0.500 0.719 1
Ir1 0.500 0.500 0.275 1
```

Calculated values
As for the density of states at the Fermi level: 1.4 states/eV per cell. The theoretical density is 12.15 g/cm3. The space-group type is No. 99.

The following is a DFT calculation (GGA-PBE) of a relaxed structure of InCuIr.

Structure (CIF):
```
data_InCuIr
_chemical_formula_sum 'In4 Cu4 Ir4'
_cell_length_a 6.119
_cell_length_b 6.119
_cell_length_c 6.119
_cell_angle_alpha 90.00
_cell_angle_beta 90.00
_cell_angle_gamma 90.00
_symmetry_space_group_name_H-M 'P 1'
_symmetry_Int_Tables_number 1
_symmetry_space_group_name_Hall 'P 1'
loop_
_atom_site_label
_atom_site_fract_x
_atom_site_fract_y
_atom_site_fract_z
_atom_site_occupancy
In1 0.000 0.000 0.000 1
In2 0.000 0.500 0.500 1
In3 0.500 0.000 0.500 1
In4 0.500 0.500 0.000 1
Cu1 0.000 0.000 0.500 1
Cu2 0.000 0.500 0.000 1
Cu3 0.500 0.000 0.000 1
Cu4 0.500 0.500 0.500 1
Ir1 0.250 0.250 0.250 1
Ir2 0.250 0.750 0.750 1
Ir3 0.750 0.250 0.750 1
Ir4 0.750 0.750 0.250 1
```

Calculated values
As for the density of states at the Fermi level: 3.0 states/eV per cell. The theoretical density is 10.75 g/cm3. The space-group type is No. 216.

The following is a DFT calculation (GGA-PBE) of a relaxed structure of InCu2Ir.

Structure (CIF):
```
data_InCu2Ir
_chemical_formula_sum 'In2 Cu4 Ir2'
_cell_length_a 9.068
_cell_length_b 2.981
_cell_length_c 4.620
_cell_angle_alpha 90.00
_cell_angle_beta 103.07
_cell_angle_gamma 90.00
_symmetry_space_group_name_H-M 'P 1'
_symmetry_Int_Tables_number 1
_symmetry_space_group_name_Hall 'P 1'
loop_
_atom_site_label
_atom_site_fract_x
_atom_site_fract_y
_atom_site_fract_z
_atom_site_occupancy
In1 0.000 0.000 0.000 1
In2 0.500 0.500 0.000 1
Cu1 0.243 0.000 0.726 1
Cu2 0.257 0.500 0.274 1
Cu3 0.743 0.500 0.726 1
Cu4 0.757 0.000 0.274 1
Ir1 0.000 0.500 0.500 1
Ir2 0.500 0.000 0.500 1
```

Calculated values
As for the density of states at the Fermi level: 2.6 states/eV per cell. The theoretical density is 11.85 g/cm3. The space-group type is No. 12.

The following is a DFT calculation (GGA-PBE) of a relaxed structure of InCuIr.

Structure (CIF):
```
data_InCuIr
_chemical_formula_sum 'In4 Cu4 Ir4'
_cell_length_a 2.972
_cell_length_b 4.997
_cell_length_c 13.262
_cell_angle_alpha 90.00
_cell_angle_beta 90.00
_cell_angle_gamma 90.00
_symmetry_space_group_name_H-M 'P 1'
_symmetry_Int_Tables_number 1
_symmetry_space_group_name_Hall 'P 1'
loop_
_atom_site_label
_atom_site_fract_x
_atom_site_fract_y
_atom_site_fract_z
_atom_site_occupancy
In1 0.000 0.000 0.000 1
In2 0.000 0.500 0.500 1
In3 0.500 0.000 0.500 1
In4 0.500 0.500 0.000 1
Cu1 0.000 0.000 0.331 1
Cu2 0.000 0.500 0.831 1
Cu3 0.500 0.000 0.831 1
Cu4 0.500 0.500 0.331 1
Ir1 0.000 0.000 0.673 1
Ir2 0.000 0.500 0.173 1
Ir3 0.500 0.000 0.173 1
Ir4 0.500 0.500 0.673 1
```

Calculated values
As for the density of states at the Fermi level: 5.6 states/eV per cell. The theoretical density is 12.50 g/cm3. The space-group type is No. 42.

The following is a DFT calculation (GGA-PBE) of a relaxed structure of InCu2Ir.

Structure (CIF):
```
data_InCu2Ir
_chemical_formula_sum 'In4 Cu8 Ir4'
_cell_length_a 6.224
_cell_length_b 6.224
_cell_length_c 6.224
_cell_angle_alpha 90.00
_cell_angle_beta 90.00
_cell_angle_gamma 90.00
_symmetry_space_group_name_H-M 'P 1'
_symmetry_Int_Tables_number 1
_symmetry_space_group_name_Hall 'P 1'
loop_
_atom_site_label
_atom_site_fract_x
_atom_site_fract_y
_atom_site_fract_z
_atom_site_occupancy
In1 0.000 0.000 0.000 1
In2 0.000 0.500 0.500 1
In3 0.500 0.000 0.500 1
In4 0.500 0.500 0.000 1
Cu1 0.000 0.000 0.500 1
Cu2 0.000 0.500 0.000 1
Cu3 0.250 0.250 0.250 1
Cu4 0.250 0.750 0.750 1
Cu5 0.500 0.000 0.000 1
Cu6 0.500 0.500 0.500 1
Cu7 0.750 0.250 0.750 1
Cu8 0.750 0.750 0.250 1
Ir1 0.250 0.250 0.750 1
Ir2 0.250 0.750 0.250 1
Ir3 0.750 0.250 0.250 1
Ir4 0.750 0.750 0.750 1
```

Calculated values
As for the density of states at the Fermi level: 9.6 states/eV per cell. The theoretical density is 11.96 g/cm3. The space-group type is No. 216.

The following is a DFT calculation (GGA-PBE) of a relaxed structure of In2CuIr2.

Structure (CIF):
```
data_In2CuIr2
_chemical_formula_sum 'In4 Cu2 Ir4'
_cell_length_a 7.657
_cell_length_b 7.657
_cell_length_c 3.071
_cell_angle_alpha 90.00
_cell_angle_beta 90.00
_cell_angle_gamma 90.00
_symmetry_space_group_name_H-M 'P 1'
_symmetry_Int_Tables_number 1
_symmetry_space_group_name_Hall 'P 1'
loop_
_atom_site_label
_atom_site_fract_x
_atom_site_fract_y
_atom_site_fract_z
_atom_site_occupancy
In1 0.152 0.348 0.000 1
In2 0.348 0.848 0.000 1
In3 0.652 0.152 0.000 1
In4 0.848 0.652 0.000 1
Cu1 0.000 0.000 0.000 1
Cu2 0.500 0.500 0.000 1
Ir1 0.146 0.646 0.500 1
Ir2 0.354 0.146 0.500 1
Ir3 0.646 0.854 0.500 1
Ir4 0.854 0.354 0.500 1
```

Calculated values
As for the density of states at the Fermi level: 3.0 states/eV per cell. The theoretical density is 12.50 g/cm3. The space-group type is No. 127.

The following is a DFT calculation (GGA-PBE) of a relaxed structure of InCuIr.

Structure (CIF):
```
data_InCuIr
_chemical_formula_sum 'In1 Cu1 Ir1'
_cell_length_a 4.324
_cell_length_b 4.324
_cell_length_c 2.942
_cell_angle_alpha 90.00
_cell_angle_beta 90.00
_cell_angle_gamma 120.00
_symmetry_space_group_name_H-M 'P 1'
_symmetry_Int_Tables_number 1
_symmetry_space_group_name_Hall 'P 1'
loop_
_atom_site_label
_atom_site_fract_x
_atom_site_fract_y
_atom_site_fract_z
_atom_site_occupancy
In1 0.000 0.000 0.000 1
Cu1 0.667 0.333 0.754 1
Ir1 0.333 0.667 0.434 1
```

Calculated values
As for the density of states at the Fermi level: 0.9 states/eV per cell. The theoretical density is 12.92 g/cm3. The space-group type is No. 156.

| no. | ΔE_f (eV/atom) |
| --- | --- |
| 1 | 0.03 |
| 2 | 0.31 |
| 3 | -0.01 |
| 4 | 0.08 |
| 5 | 0.22 |
| 6 | 0.07 |
| 7 | 0.32 |
| 8 | 0.07 |
| 9 | 0.23 |
| 10 | 0.09 |